Entry from Alexandria: an optimized crystal structure of RbTiTl (PBE-GGA).

Values from the calculation:
Crystal system: tetragonal
Energy above the lowest structure with this stoichiometry in meV per atom: 332
Total energy in eV per atom: -3.23
Calculated volume in Å³ per atom: 38.6

Cell: 5.5129 5.5129 7.6140 Å, 90.00 90.00 90.00°
Last column: magnetic moment on the atom in μB.
Fractional coordinates of all 6 atoms:
Rb 0.0000 0.5000 0.8834  0.01
Rb 0.5000 0.0000 0.1166  0.01
Ti 0.5000 0.0000 0.5727  1.08
Ti 0.0000 0.5000 0.4273  1.08
Tl 0.5000 0.5000 0.5000  0.02
Tl 0.0000 0.0000 0.5000  0.02

Entry from Alexandria: an optimized crystal structure of RbTiTl (PBE-GGA).

Values from the calculation:
Crystal system: triclinic
Energy above the lowest structure with this stoichiometry in meV per atom: 248
Total energy in eV per atom: -3.32
Calculated volume in Å³ per atom: 32.9

Cell: 7.7479 8.2993 3.2649 Å, 101.25 78.80 104.30°
Fractional coordinates of all 6 atoms:
Rb 0.8900 0.2140 0.9282
Rb 0.1100 0.7860 0.0718
Tl 0.4166 0.1645 0.6192
Tl 0.5834 0.8355 0.3808
Ti 0.3650 0.4507 0.2865
Ti 0.6350 0.5493 0.7135

Entry from Alexandria: an optimized crystal structure of Rb2TiTl (PBE-GGA).

Values from the calculation:
Crystal system: tetragonal
Energy above the lowest structure with this stoichiometry in meV per atom: 0
Total energy in eV per atom: -2.34
Calculated volume in Å³ per atom: 62.0

Cell: 13.4462 13.4462 9.8961 Å, 47.21 47.21 90.00°
Last column: magnetic moment on the atom in μB.
Fractional coordinates of all 8 atoms:
Rb 0.3750 0.2186 0.7500  0.00
Rb 0.9686 0.6250 0.2500  0.01
Rb 0.7814 0.1250 0.2500  0.01
Rb 0.8750 0.0314 0.7500  0.00
Tl 0.7500 0.2500 0.5000  0.05
Tl 0.0000 0.0000 0.0000  0.05
Ti 0.2500 0.7500 0.5000  1.63
Ti 0.5000 0.5000 0.0000  1.63